First-principles (GGA+U) data for an optimized crystal structure of ZnCdMo2O8, as listed in Alexandria via LeMat-Bulk.

Lattice parameters (Å, degrees): 6.043 6.043 6.043 109.59 109.59 109.24
Sites, in units of the cell vectors:
Zn (0.000, 0.000, 0.000)
Cd (0.750, 0.250, 0.500)
Mo (0.250, 0.750, 0.500)
Mo (0.500, 0.500, 0.000)
O (0.100, 0.388, 0.288)
O (0.100, 0.811, 0.712)
O (0.141, 0.344, 0.797)
O (0.189, 0.900, 0.288)
O (0.547, 0.344, 0.203)
O (0.612, 0.900, 0.712)
O (0.656, 0.453, 0.797)
O (0.656, 0.859, 0.203)

## Properties
mass density	4.86	g/cm3
VASP energy	-6.07	eV per atom
total magnetic moment	0.0	μB per formula unit
volume	169.9	Å³/cell